(1)
Nd4TmIn: relaxed, PBE.

abc: 3.5322 9.8243 5.8241
angles: 90.00 90.00 90.00
Last column: nearest neighbours and their distance in Å.
Sites, in units of the cell vectors:
Nd  0.0000  0.8204  0.4997  2 In 3.40-3.41, 7 Nd 3.53-3.62, 2 Tm 3.61
Nd  0.5000  0.3030  0.0002  2 In 3.46, 2 Tm 3.50, 7 Nd 3.53-3.87
Nd  0.5000  0.6970  0.9998  2 In 3.46, 2 Tm 3.50, 7 Nd 3.53-3.87
Tm  0.5000  0.5000  0.5000  8 Nd 3.50-3.61, 2 Tm 3.53
In  0.0000  0.0000  0.0000  8 Nd 3.40-3.46, 2 In 3.53
Nd  0.0000  0.1796  0.5003  2 In 3.40-3.41, 7 Nd 3.53-3.62, 2 Tm 3.61

Output
Its symmetry is No. 47. The value obtained for the offset from the most stable computed form is 59.2 meV/atom. The value obtained for the formation energy is 0.04 eV per atom. Its crystal system is orthorhombic. The calculation puts the density of states at the Fermi level at 8.82 states/eV/cell.

(2)
CsTbPdF6: relaxed, PBE.

abc: 8.3201 7.9148 8.1140
angles: 119.19 120.84 90.00
Last column: nearest neighbours and their distance in Å.
Sites, in units of the cell vectors:
F  0.5665  0.9165  0.7430  1 Tb 2.19, 1 Pd 2.22
F  0.4335  0.6735  0.2570  1 Tb 2.19, 1 Pd 2.22
F  0.4335  0.0835  0.2570  1 Tb 2.19, 1 Pd 2.22
F  0.5786  0.3286  0.1572  2 Pd 2.17
Cs  0.8364  0.5864  0.6729  1 F 2.96
Pd  0.5000  0.5000  0.0000  6 F 2.17-2.22
F  0.1764  0.9165  0.7430  1 Tb 2.19, 1 Pd 2.22
F  0.1822  0.9322  0.3644  2 Tb 2.22
Pd  0.5000  0.0000  0.0000  6 F 2.17-2.22
Tb  0.0000  0.0000  0.5000  6 F 2.19-2.22
F  0.4214  0.6714  0.8428  2 Pd 2.17
F  0.8236  0.0835  0.2570  1 Tb 2.19, 1 Pd 2.22
F  0.8236  0.6735  0.2570  1 Tb 2.19, 1 Pd 2.22
Tb  0.5000  0.0000  0.5000  6 F 2.19-2.22
F  0.8178  0.0678  0.6356  2 Tb 2.22
F  0.1764  0.3265  0.7430  1 Tb 2.19, 1 Pd 2.22
Cs  0.1636  0.4136  0.3271  1 F 2.96
F  0.5665  0.3265  0.7430  1 Tb 2.19, 1 Pd 2.22

Output
Its symmetry is No. 74. The formation energy without anion corrections comes out at -2808 meV/atom. Its crystal system is orthorhombic.

Number 1: total DFT energy (no corrections) -26.067 eV/cell, mass density 7.1 g/cm³. Number 2: total DFT energy (no corrections) -94.361 eV/cell, mass density 4.5 g/cm³.